VASP calculation (PBE) on an optimized crystal structure of RbHfPbAu2.

As for the spin magnetization: 0.701 μB/cell. As for the total energy: -13.177 eV for the cell shown. The energy of formation from the pure elements comes out at 1602 meV per atom. As for the space-group type: No. 123.

Lattice parameters (Å, degrees): 5.4072 5.4072 5.7718 90.00 90.00 90.00
With the nearest neighbours (Å) after each atom.
Atoms (fractional coordinates):
Au1 0.0000 0.5000 0.0000  2 Rb 2.70
Rb1 0.0000 0.0000 0.0000  4 Au 2.70, 2 Pb 2.89
Pb1 0.0000 0.0000 0.5000  2 Rb 2.89
Hf1 0.5000 0.5000 0.5000  4 Pb 3.82, 8 Au 3.95
Au2 0.5000 0.0000 0.0000  2 Rb 2.70

***

VASP calculation (PBE) on an optimized crystal structure of K2Zn2TeSe2.

As for the spin magnetization: 0.000 μB/cell. As for the total energy: -20.145 eV for the cell shown. As for the space-group type: No. 2.

Lattice parameters (Å, degrees): 4.0708 7.9132 9.6858 52.52 90.04 75.16
With the nearest neighbours (Å) after each atom.
Atoms (fractional coordinates):
Se1 0.8250 0.3481 0.3305  2 Zn 2.41
Zn1 0.7841 0.4333 0.7788  2 Se 2.41, 1 Te 2.58
Se2 0.1750 0.6519 0.6695  2 Zn 2.41
Te1 0.0000 0.0000 0.0000  2 Zn 2.58
Zn2 0.2159 0.5667 0.2212  2 Se 2.41, 1 Te 2.58
K1 0.5020 0.9955 0.7119  2 Te 3.47, 4 Se 3.54-3.55
K2 0.4980 0.0045 0.2881  2 Te 3.47, 4 Se 3.54-3.55

***

VASP calculation (PBE) on an optimized crystal structure of TlCuIr2.

As for the spin magnetization: 0.000 μB/cell. The value obtained for the relative energy among the computed polymorphs is 0.184 eV per atom. As for the total energy: -22.004 eV for the cell shown. The energy of formation from the pure elements comes out at 545 meV per atom. As for the space-group type: No. 166.

Lattice parameters (Å, degrees): 8.7081 8.7081 8.7081 19.54 19.54 19.54
With the nearest neighbours (Å) after each atom.
Atoms (fractional coordinates):
Ir1 0.0064 0.0064 0.0064  3 Cu 2.61, 3 Tl 2.86
Ir2 0.4936 0.4936 0.4936  3 Cu 2.61, 3 Tl 2.86
Tl1 0.2500 0.2500 0.2500  6 Ir 2.86, 6 Tl 2.96
Cu1 0.7500 0.7500 0.7500  6 Ir 2.61

***

VASP calculation (PBE) on an optimized crystal structure of PmPtAu4.

As for the spin magnetization: 0.000 μB/cell. The value obtained for the relative energy among the computed polymorphs is 0.000 eV per atom. As for the total energy: -26.417 eV for the cell shown. The energy of formation from the pure elements comes out at -419 meV per atom. As for the space-group type: No. 216.

Lattice parameters (Å, degrees): 5.5213 5.5213 5.5213 60.00 60.00 60.00
With the nearest neighbours (Å) after each atom.
Atoms (fractional coordinates):
Au1 0.6246 0.6246 0.1263  6 Au 2.75-2.77
Pm1 0.0000 0.0000 0.0000  12 Au 3.24, 4 Pt 3.38
Pt1 0.2500 0.2500 0.2500  12 Au 3.24, 4 Pm 3.38
Au2 0.6246 0.1263 0.6246  6 Au 2.75-2.77
Au3 0.6246 0.6246 0.6246  6 Au 2.75-2.77
Au4 0.1263 0.6246 0.6246  6 Au 2.75-2.77

***

VASP calculation (PBE) on an optimized crystal structure of VBiRh2.

As for the spin magnetization: 0.391 μB/cell. As for the total energy: -52.878 eV for the cell shown. The energy of formation from the pure elements comes out at 316 meV per atom. As for the space-group type: No. 122.

Lattice parameters (Å, degrees): 4.1510 4.1510 9.0929 76.81 76.81 90.00
With the nearest neighbours (Å) after each atom.
Atoms (fractional coordinates):
Rh1 0.5873 0.1250 0.2500  2 V 2.55, 2 Bi 2.67, 2 Rh 2.72
V1 0.2500 0.7500 0.5000  4 Rh 2.55
Bi1 0.0000 0.0000 0.0000  4 Rh 2.67, 4 V 2.94
Bi2 0.7500 0.2500 0.5000  4 Rh 2.67, 4 V 2.94
V2 0.5000 0.5000 0.0000  4 Rh 2.55
Rh2 0.1627 0.6250 0.2500  2 V 2.55, 2 Bi 2.67, 2 Rh 2.72
Rh3 0.8750 0.8373 0.7500  2 V 2.55, 2 Bi 2.67, 2 Rh 2.72
Rh4 0.3750 0.4127 0.7500  2 V 2.55, 2 Bi 2.67, 2 Rh 2.72

***

VASP calculation (PBE) on an optimized crystal structure of K2SiTe.

As for the spin magnetization: 0.363 μB/cell. The value obtained for the relative energy among the computed polymorphs is 0.313 eV per atom. As for the total energy: -10.542 eV for the cell shown. As for the space-group type: No. 119.

Lattice parameters (Å, degrees): 6.2745 6.2745 6.2745 132.72 132.72 69.10
With the nearest neighbours (Å) after each atom.
Atoms (fractional coordinates):
K1 0.2500 0.7500 0.5000  4 Te 3.56, 4 K 3.61, 4 Si 3.61
Si1 0.5000 0.5000 0.0000  8 K 3.56-3.61, 4 Te 3.61
Te1 0.7500 0.2500 0.5000  8 K 3.56-3.61, 4 Si 3.61
K2 0.0000 0.0000 0.0000  4 Si 3.56, 4 K 3.61, 4 Te 3.61

***

VASP calculation (PBE) on an optimized crystal structure of V2WAu.

As for the spin magnetization: 0.001 μB/cell. The value obtained for the relative energy among the computed polymorphs is 0.000 eV per atom. As for the total energy: -34.442 eV for the cell shown. The energy of formation from the pure elements comes out at 7 meV per atom. As for the space-group type: No. 123.

Lattice parameters (Å, degrees): 3.1693 3.1693 6.0779 90.00 90.00 90.00
With the nearest neighbours (Å) after each atom.
Atoms (fractional coordinates):
V1 0.0000 0.0000 0.2288  4 W 2.64, 1 V 2.78, 4 Au 2.78
Au1 0.5000 0.5000 0.5000  8 V 2.78, 2 W 3.04
W1 0.5000 0.5000 0.0000  8 V 2.64
V2 0.0000 0.0000 0.7712  4 W 2.64, 1 V 2.78, 4 Au 2.78

***

VASP calculation (PBE) on an optimized crystal structure of La2SbH.

As for the spin magnetization: 0.000 μB/cell. The value obtained for the relative energy among the computed polymorphs is 0.076 eV per atom. As for the total energy: -20.108 eV for the cell shown. As for the space-group type: No. 166.

Lattice parameters (Å, degrees): 4.3059 4.3059 7.2069 72.62 72.62 60.00
With the nearest neighbours (Å) after each atom.
Atoms (fractional coordinates):
La1 0.7384 0.7384 0.7847  3 H 2.88, 3 Sb 3.14
H1 0.0000 0.0000 0.0000  6 La 2.88
Sb1 0.5000 0.5000 0.5000  6 La 3.14
La2 0.2616 0.2616 0.2153  3 H 2.88, 3 Sb 3.14

***

VASP calculation (PBE) on an optimized crystal structure of Sr4InIr.

As for the spin magnetization: 0.000 μB/cell. The value obtained for the relative energy among the computed polymorphs is 0.000 eV per atom. As for the total energy: -39.821 eV for the cell shown. The energy of formation from the pure elements comes out at -264 meV per atom. As for the space-group type: No. 15.

Lattice parameters (Å, degrees): 6.5942 8.6608 8.6608 112.94 100.90 100.90
With the nearest neighbours (Å) after each atom.
Atoms (fractional coordinates):
Sr1 0.0548 0.9448 0.2751  2 Ir 3.05-3.07
In1 0.2500 0.3688 0.6312  8 Sr 3.51-3.88
Sr2 0.8649 0.6444 0.7894  2 Ir 3.19-3.23, 1 In 3.53
Sr3 0.3649 0.7894 0.6444  2 Ir 3.19-3.23, 1 In 3.53
Ir1 0.7500 0.0008 0.9992  8 Sr 3.05-3.23, 2 Ir 3.30
Ir2 0.2500 0.9992 0.0008  8 Sr 3.05-3.23, 2 Ir 3.30
Sr4 0.1351 0.3556 0.2106  2 Ir 3.19-3.23, 1 In 3.53
Sr5 0.4452 0.7249 0.0552  2 Ir 3.05-3.07
In2 0.7500 0.6312 0.3688  8 Sr 3.51-3.88
Sr6 0.5548 0.2751 0.9448  2 Ir 3.05-3.07
Sr7 0.9452 0.0552 0.7249  2 Ir 3.05-3.07
Sr8 0.6351 0.2106 0.3556  2 Ir 3.19-3.23, 1 In 3.53

***

VASP calculation (PBE) on an optimized crystal structure of LaTbTm2.

As for the spin magnetization: 0.001 μB/cell. The value obtained for the relative energy among the computed polymorphs is 0.000 eV per atom. As for the total energy: -18.439 eV for the cell shown. The energy of formation from the pure elements comes out at 15 meV per atom. As for the space-group type: No. 160.

Lattice parameters (Å, degrees): 3.5960 3.5960 11.6832 81.15 81.15 60.00
With the nearest neighbours (Å) after each atom.
Atoms (fractional coordinates):
La1 0.6662 0.6662 0.0013  6 Tm 3.58-3.60, 6 La 3.60
Tm1 0.2484 0.2484 0.2549  3 Tb 3.49, 3 La 3.58, 6 Tm 3.60
Tm2 0.0850 0.0850 0.7451  3 Tb 3.51, 6 Tm 3.60, 3 La 3.60
Tb1 0.5004 0.5004 0.4987  6 Tm 3.49-3.51, 6 Tb 3.60

***

VASP calculation (PBE) on an optimized crystal structure of Zn3Co13.

As for the spin magnetization: 19.515 μB/cell. As for the total energy: -95.790 eV for the cell shown. The energy of formation from the pure elements comes out at 26 meV per atom. As for the space-group type: No. 38.

Lattice parameters (Å, degrees): 5.9927 5.9927 5.0584 90.00 90.00 93.64
With the nearest neighbours (Å) after each atom.
Atoms (fractional coordinates):
Co1 0.4593 0.0382 0.7452  10 Co 2.48-2.58, 2 Zn 2.51
Co2 0.4593 0.0382 0.2548  10 Co 2.48-2.58, 2 Zn 2.51
Zn1 0.0428 0.9572 0.7490  9 Co 2.51-2.60, 3 Zn 2.52-2.59
Co3 0.9618 0.5407 0.2548  10 Co 2.48-2.58, 2 Zn 2.51
Co4 0.7028 0.7866 0.5000  10 Co 2.44-2.59, 2 Zn 2.55
Co5 0.2992 0.7008 0.5000  10 Co 2.42-2.53, 2 Zn 2.57
Co6 0.7843 0.2157 0.5000  8 Co 2.49-2.59, 4 Zn 2.53-2.59
Zn2 0.0428 0.9572 0.2510  9 Co 2.51-2.60, 3 Zn 2.52-2.59
Co7 0.5372 0.4628 0.7440  11 Co 2.42-2.59, 1 Zn 2.52
Zn3 0.7843 0.2157 0.0000  10 Co 2.51-2.63, 2 Zn 2.59
Co8 0.2134 0.2972 0.5000  10 Co 2.44-2.59, 2 Zn 2.55
Co9 0.6974 0.7798 0.0000  9 Co 2.42-2.55, 3 Zn 2.60-2.63
Co10 0.2962 0.7038 0.0000  10 Co 2.42-2.53, 2 Zn 2.55
Co11 0.2202 0.3026 0.0000  9 Co 2.42-2.55, 3 Zn 2.60-2.63
Co12 0.5372 0.4628 0.2560  11 Co 2.42-2.59, 1 Zn 2.52
Co13 0.9618 0.5407 0.7452  10 Co 2.48-2.58, 2 Zn 2.51

***

VASP calculation (PBE) on an optimized crystal structure of Ca2SnPd7.

As for the spin magnetization: 0.000 μB/cell. As for the total energy: -43.912 eV for the cell shown. The energy of formation from the pure elements comes out at 44 meV per atom. As for the space-group type: No. 225.

Lattice parameters (Å, degrees): 6.9952 6.9952 6.9952 60.00 60.00 60.00
With the nearest neighbours (Å) after each atom.
Atoms (fractional coordinates):
Pd1 0.2484 0.2484 0.7516  1 Sn 2.46, 1 Pd 2.49
Pd2 0.7516 0.2484 0.2484  1 Sn 2.46, 1 Pd 2.49
Ca1 0.2500 0.2500 0.2500  12 Pd 3.50
Pd3 0.2484 0.7516 0.7516  1 Sn 2.46, 1 Pd 2.49
Ca2 0.7500 0.7500 0.7500  12 Pd 3.50
Pd4 0.7516 0.2484 0.7516  1 Sn 2.46, 1 Pd 2.49
Pd5 0.2484 0.7516 0.2484  1 Sn 2.46, 1 Pd 2.49
Sn1 0.0000 0.0000 0.0000  6 Pd 2.46
Pd6 0.5000 0.5000 0.5000  6 Pd 2.49
Pd7 0.7516 0.7516 0.2484  1 Sn 2.46, 1 Pd 2.49

***

VASP calculation (PBE) on an optimized crystal structure of Pr3Mg7Rh4.

As for the spin magnetization: 0.000 μB/cell. As for the total energy: -61.213 eV for the cell shown. The energy of formation from the pure elements comes out at -450 meV per atom. As for the space-group type: No. 12.

Lattice parameters (Å, degrees): 4.2678 8.4131 9.2380 73.46 76.64 75.31
With the nearest neighbours (Å) after each atom.
Atoms (fractional coordinates):
Pr1 0.6984 0.8198 0.7835  4 Rh 2.98-3.08, 4 Mg 3.22-3.29
Pr2 0.3016 0.1802 0.2165  4 Rh 2.98-3.08, 4 Mg 3.22-3.29
Rh1 0.1067 0.0976 0.6890  6 Mg 2.68-2.87
Mg1 0.6799 0.1506 0.4897  4 Rh 2.75-2.87, 1 Mg 2.94
Mg2 0.1690 0.5906 0.0715  3 Rh 2.75-2.83, 4 Mg 2.98-3.05
Mg3 0.3201 0.8494 0.5103  4 Rh 2.75-2.87, 1 Mg 2.94
Mg4 0.4863 0.2387 0.7887  3 Rh 2.66-2.68, 1 Mg 2.94
Rh2 0.3336 0.5710 0.7618  5 Mg 2.66-2.83
Mg5 0.5137 0.7613 0.2113  3 Rh 2.66-2.68, 1 Mg 2.94
Pr3 0.0000 0.5000 0.5000  6 Rh 3.31-3.33, 8 Mg 3.57-3.63
Rh3 0.8933 0.9024 0.3110  6 Mg 2.68-2.87
Mg6 0.8310 0.4094 0.9285  3 Rh 2.75-2.83, 4 Mg 2.98-3.05
Rh4 0.6664 0.4290 0.2382  5 Mg 2.66-2.83
Mg7 0.0000 0.0000 0.0000  2 Rh 2.72